Entry 1:
Computed, not measured: a geometry-optimized CrTcHg2 structure at the PBE level of DFT.

abc: 6.455 6.455 6.455
angles: 90.00 90.00 90.00
Space group Fm-3m (No. 225)
Symmetry-distinct sites (fractional):
Cr 0.000 0.000 0.000 x4
Tc 0.000 0.000 0.500 x4
Hg 0.250 0.250 0.250 x8

Computed properties:
E_form in eV per atom: 0.90
Relative energy among the computed polymorphs in eV/f.u.: 2.285
Energy in eV for the cell shown: -68.0

---

Entry 2:
Computed, not measured: a geometry-optimized Pr3NdTl3 structure at the PBE level of DFT.

abc: 11.048 11.119 7.472
angles: 90.00 90.00 90.00
Space group Cmmm (No. 65)
Symmetry-distinct sites (fractional):
Pr 0.000 0.240 0.000 x4
Pr 0.236 0.000 0.500 x4
Pr 0.243 0.000 0.000 x4
Nd 0.000 0.246 0.500 x4
Tl 0.000 0.500 0.252 x4
Tl 0.250 0.250 0.252 x8

Computed properties:
E_form in eV per atom: -0.25
Relative energy among the computed polymorphs in eV/f.u.: 0.317
Energy in eV for the cell shown: -111.7

---

Entry 3:
Computed, not measured: a geometry-optimized ReSiSe2 structure at the PBE level of DFT.

abc: 4.696 4.696 3.021
angles: 90.00 90.00 90.00
Space group P4/mmm (No. 123)
Symmetry-distinct sites (fractional):
Re 0.000 0.000 0.000 x1
Si 0.500 0.500 0.000 x1
Se 0.000 0.500 0.500 x2

Computed properties:
Energy in eV for the cell shown: -21.9
E_form (uncorrected) in eV per formula unit: 3.0

---

Entry 4:
Computed, not measured: a geometry-optimized Nd8Zn2Tc structure at the PBE level of DFT.

abc: 17.917 5.240 7.044
angles: 90.00 103.91 90.00
Space group C2/m (No. 12)
Symmetry-distinct sites (fractional):
Nd 0.025 0.000 0.286 x4
Nd 0.091 0.500 0.941 x4
Nd 0.158 0.500 0.462 x4
Nd 0.199 0.000 0.807 x4
Zn 0.189 0.000 0.224 x4
Tc 0.000 0.500 0.500 x2

Computed properties:
E_form in eV per atom: -0.06
Relative energy among the computed polymorphs in eV/f.u.: 0.000
Energy in eV for the cell shown: -103.3

---

Entry 5:
Computed, not measured: a geometry-optimized AcGa6Pd structure at the PBE level of DFT.

abc: 4.503 4.503 7.981
angles: 90.00 90.00 90.00
Space group P4/mmm (No. 123)
Symmetry-distinct sites (fractional):
Ac 0.000 0.000 0.000 x1
Ga 0.000 0.500 0.332 x4
Ga 0.500 0.500 0.156 x2
Pd 0.000 0.000 0.500 x1

Computed properties:
E_form in eV per atom: -0.51
Energy in eV for the cell shown: -31.6

---

Entry 6:
Computed, not measured: a geometry-optimized NbAlRu structure at the PBE level of DFT.

abc: 3.094 3.094 9.728
angles: 90.00 90.00 90.00
Space group I4mm (No. 107)
Symmetry-distinct sites (fractional):
Nb 0.000 0.000 0.000 x2
Al 0.000 0.000 0.688 x2
Ru 0.000 0.000 0.340 x2

Computed properties:
E_form in eV per atom: -0.46
Energy in eV for the cell shown: -49.0

---

Entry 7:
Computed, not measured: a geometry-optimized FeReSi2 structure at the PBE level of DFT.

abc: 2.668 2.668 7.442
angles: 90.00 90.00 90.00
Space group P4mm (No. 99)
Symmetry-distinct sites (fractional):
Fe 0.000 0.000 0.000 x1
Re 0.500 0.500 0.229 x1
Si 0.000 0.000 0.488 x1
Si 0.500 0.500 0.794 x1

Computed properties:
Energy in eV for the cell shown: -31.6
E_form (uncorrected) in eV per formula unit: 0.2

---

Entry 8:
Computed, not measured: a geometry-optimized AgHgPt2 structure at the PBE level of DFT.

abc: 2.861 4.931 4.946
angles: 90.00 90.63 90.00
Space group P2/m (No. 10)
Symmetry-distinct sites (fractional):
Ag 0.000 0.000 0.000 x1
Hg 0.500 0.000 0.500 x1
Pt 0.255 0.500 0.753 x2

Computed properties:
E_form in eV per atom: 0.05
Energy in eV for the cell shown: -15.0